# La3ZrSb | the Alexandria database | PBE-GGA | relaxed
data_La3ZrSb
_symmetry_space_group_name_H-M 'P m -3 m'
_symmetry_Int_Tables_number 221
_symmetry_space_group_name_Hall '-P 4 2 3'
_cell_length_a 5.991
_cell_length_b 5.991
_cell_length_c 5.991
_cell_angle_alpha 90.00
_cell_angle_beta 90.00
_cell_angle_gamma 90.00
loop_
_atom_site_label
_atom_site_type_symbol
_atom_site_fract_x
_atom_site_fract_y
_atom_site_fract_z
La1 La 0.000 0.000 0.500
Zr1 Zr 0.500 0.500 0.500
Sb1 Sb 0.000 0.000 0.000
# DFT total energy ... -5.158 eV/atom
# Total moment ... 0.784 μB/atom
# Energy above the lowest structure with this stoichiometry ... 0.203 eV per atom
# D(E_F) ... 10.6 states/eV/f.u.